{"formula": "Ac3Al2CdAu6", "functional": "PBE-GGA", "state": "optimized geometry", "crystal_system": "trigonal", "delta_e_f_ev_per_atom": -0.489, "vol_a3_per_atom": 26.458, "space_group": "P-3m1", "lattice": [[6.542, 0.000, 0.000], [-3.271, 5.665, 0.000], [0.000, 0.000, 8.568]], "species": ["Ac", "Ac", "Ac", "Al", "Al", "Cd", "Au", "Au", "Au", "Au", "Au", "Au"], "frac_coords": [[0.000, 0.000, 0.000], [0.333, 0.667, 0.643], [0.667, 0.333, 0.357], [0.333, 0.667, 0.044], [0.667, 0.333, 0.956], [0.000, 0.000, 0.500], [0.184, 0.368, 0.280], [0.184, 0.816, 0.280], [0.368, 0.184, 0.720], [0.632, 0.816, 0.280], [0.816, 0.184, 0.720], [0.816, 0.632, 0.720]]}


{"formula": "Ac6Ge2PS3", "functional": "PBE-GGA", "state": "optimized geometry", "crystal_system": "monoclinic", "vol_a3_per_atom": 31.291, "space_group": "C2/m", "raw_formation_energy_ev_per_atom": -1.530, "lattice": [[9.678, -2.242, 0.000], [9.678, 2.242, 0.000], [-1.904, 0.000, 8.653]], "species": ["Ac", "Ac", "Ac", "Ac", "Ac", "Ac", "Ge", "Ge", "P", "S", "S", "S"], "frac_coords": [[0.001, 0.001, 0.245], [0.333, 0.333, 0.418], [0.335, 0.335, 0.917], [0.665, 0.665, 0.083], [0.667, 0.667, 0.582], [0.999, 0.999, 0.755], [0.166, 0.166, 0.330], [0.834, 0.834, 0.670], [0.500, 0.500, 0.000], [0.166, 0.166, 0.834], [0.500, 0.500, 0.500], [0.834, 0.834, 0.166]]}


{"formula": "PuAuO4", "functional": "PBE-GGA", "state": "optimized geometry", "crystal_system": "monoclinic", "vol_a3_per_atom": 18.927, "space_group": "P2_1/c", "raw_formation_energy_ev_per_atom": -1.507, "lattice": [[5.989, 0.000, 0.000], [0.000, 9.977, 0.000], [-3.102, 0.000, 7.602]], "species": ["Pu", "Pu", "Pu", "Pu", "Au", "Au", "Au", "Au", "O", "O", "O", "O", "O", "O", "O", "O", "O", "O", "O", "O", "O", "O", "O", "O"], "frac_coords": [[0.219, 0.081, 0.447], [0.219, 0.419, 0.947], [0.781, 0.581, 0.053], [0.781, 0.919, 0.553], [0.458, 0.108, 0.864], [0.458, 0.392, 0.364], [0.542, 0.608, 0.636], [0.542, 0.892, 0.136], [0.007, 0.644, 0.257], [0.007, 0.856, 0.757], [0.063, 0.589, 0.915], [0.063, 0.911, 0.415], [0.373, 0.245, 0.010], [0.373, 0.255, 0.510], [0.493, 0.002, 0.662], [0.493, 0.498, 0.162], [0.507, 0.502, 0.838], [0.507, 0.998, 0.338], [0.627, 0.745, 0.490], [0.627, 0.755, 0.990], [0.937, 0.089, 0.585], [0.937, 0.411, 0.085], [0.993, 0.144, 0.243], [0.993, 0.356, 0.743]]}


{"formula": "Li2VC", "functional": "PBE-GGA", "state": "optimized geometry", "crystal_system": "tetragonal", "delta_e_f_ev_per_atom": 0.349, "vol_a3_per_atom": 10.170, "space_group": "I-42d", "lattice": [[2.986, 0.000, 0.000], [0.000, 2.986, 0.000], [0.000, 0.000, 18.252]], "species": ["Li", "Li", "Li", "Li", "Li", "Li", "Li", "Li", "V", "V", "V", "V", "C", "C", "C", "C"], "frac_coords": [[0.216, 0.750, 0.125], [0.250, 0.216, 0.875], [0.250, 0.284, 0.375], [0.284, 0.750, 0.625], [0.716, 0.250, 0.625], [0.750, 0.716, 0.375], [0.750, 0.784, 0.875], [0.784, 0.250, 0.125], [0.000, 0.000, 0.500], [0.000, 0.500, 0.750], [0.500, 0.000, 0.250], [0.500, 0.500, 0.000], [0.000, 0.000, 0.000], [0.000, 0.500, 0.250], [0.500, 0.000, 0.750], [0.500, 0.500, 0.500]]}


{"formula": "LiCaAsPd", "functional": "PBE-GGA", "state": "optimized geometry", "crystal_system": "cubic", "delta_e_f_ev_per_atom": -0.707, "vol_a3_per_atom": 17.700, "space_group": "F-43m", "lattice": [[6.567, 0.000, 0.000], [0.000, 6.567, 0.000], [0.000, 0.000, 6.567]], "species": ["Li", "Li", "Li", "Li", "Ca", "Ca", "Ca", "Ca", "As", "As", "As", "As", "Pd", "Pd", "Pd", "Pd"], "frac_coords": [[0.000, 0.000, 0.000], [0.000, 0.500, 0.500], [0.500, 0.000, 0.500], [0.500, 0.500, 0.000], [0.250, 0.250, 0.250], [0.250, 0.750, 0.750], [0.750, 0.250, 0.750], [0.750, 0.750, 0.250], [0.250, 0.250, 0.750], [0.250, 0.750, 0.250], [0.750, 0.250, 0.250], [0.750, 0.750, 0.750], [0.000, 0.000, 0.500], [0.000, 0.500, 0.000], [0.500, 0.000, 0.000], [0.500, 0.500, 0.500]]}


{"formula": "Ho3CuAg", "functional": "PBE-GGA", "state": "optimized geometry", "polymorph_energy_mev_per_atom": 196, "crystal_system": "orthorhombic", "delta_e_f_ev_per_atom": -0.008, "vol_a3_per_atom": 26.637, "space_group": "Amm2", "lattice": [[3.722, 0.000, 0.000], [0.000, 4.763, 7.513], [0.000, -4.763, 7.513]], "species": ["Ho", "Ho", "Ho", "Ho", "Ho", "Ho", "Cu", "Cu", "Ag", "Ag"], "frac_coords": [[0.000, 0.000, 0.000], [0.000, 0.324, 0.324], [0.500, 0.354, 0.739], [0.500, 0.584, 0.969], [0.500, 0.739, 0.354], [0.500, 0.969, 0.584], [0.000, 0.161, 0.662], [0.000, 0.662, 0.161], [0.000, 0.661, 0.661], [0.500, 0.162, 0.162]]}


{"formula": "CaNbO2F", "functional": "PBE-GGA", "state": "optimized geometry", "crystal_system": "tetragonal", "vol_a3_per_atom": 15.111, "space_group": "P4/mmm", "raw_formation_energy_ev_per_atom": -1.127, "lattice": [[4.344, 0.000, 0.000], [0.000, 4.344, 0.000], [0.000, 0.000, 4.004]], "species": ["Ca", "Nb", "O", "O", "F"], "frac_coords": [[0.000, 0.000, 0.000], [0.500, 0.500, 0.500], [0.000, 0.500, 0.000], [0.500, 0.000, 0.000], [0.000, 0.000, 0.500]]}


{"formula": "TcNi2AgN", "functional": "PBE-GGA", "state": "optimized geometry", "crystal_system": "tetragonal", "vol_a3_per_atom": 12.161, "space_group": "P4/mmm", "raw_formation_energy_ev_per_atom": 0.157, "lattice": [[3.919, 0.000, 0.000], [0.000, 3.919, 0.000], [0.000, 0.000, 3.959]], "species": ["Tc", "Ni", "Ni", "Ag", "N"], "frac_coords": [[0.000, 0.000, 0.000], [0.000, 0.500, 0.500], [0.500, 0.000, 0.500], [0.500, 0.500, 0.000], [0.000, 0.000, 0.500]]}


{"formula": "P2WCl", "functional": "PBE-GGA", "state": "optimized geometry", "polymorph_energy_mev_per_atom": 844, "crystal_system": "orthorhombic", "vol_a3_per_atom": 15.860, "space_group": "Cmmm", "raw_formation_energy_ev_per_atom": 0.713, "lattice": [[4.663, 0.000, 0.000], [0.000, 8.503, 0.000], [0.000, 0.000, 3.200]], "species": ["P", "P", "P", "P", "W", "W", "Cl", "Cl"], "frac_coords": [[0.250, 0.250, 0.000], [0.250, 0.750, 0.000], [0.750, 0.250, 0.000], [0.750, 0.750, 0.000], [0.000, 0.000, 0.500], [0.500, 0.500, 0.500], [0.000, 0.500, 0.500], [0.500, 0.000, 0.500]]}


{"formula": "CePu2O11", "functional": "PBE-GGA", "state": "optimized geometry", "crystal_system": "orthorhombic", "vol_a3_per_atom": 16.114, "space_group": "Ibam", "raw_formation_energy_ev_per_atom": -1.884, "lattice": [[-4.092, 5.139, 5.364], [4.092, -5.139, 5.364], [4.092, 5.139, -5.364]], "species": ["Ce", "Ce", "Pu", "Pu", "Pu", "Pu", "O", "O", "O", "O", "O", "O", "O", "O", "O", "O", "O", "O", "O", "O", "O", "O", "O", "O", "O", "O", "O", "O"], "frac_coords": [[0.250, 0.250, 0.000], [0.750, 0.750, 0.000], [0.247, 0.742, 0.990], [0.253, 0.242, 0.495], [0.747, 0.758, 0.505], [0.753, 0.258, 0.010], [0.000, 0.500, 0.500], [0.008, 0.697, 0.954], [0.012, 0.038, 0.299], [0.161, 0.491, 0.652], [0.239, 0.538, 0.026], [0.244, 0.197, 0.689], [0.256, 0.945, 0.954], [0.261, 0.287, 0.299], [0.339, 0.991, 0.329], [0.488, 0.787, 0.026], [0.492, 0.445, 0.689], [0.500, 0.000, 0.500], [0.508, 0.555, 0.311], [0.512, 0.213, 0.974], [0.661, 0.009, 0.671], [0.739, 0.713, 0.701], [0.744, 0.055, 0.046], [0.756, 0.803, 0.311], [0.761, 0.462, 0.974], [0.839, 0.509, 0.348], [0.988, 0.962, 0.701], [0.992, 0.303, 0.046]]}


{"formula": "Tl3P", "functional": "PBE-GGA", "state": "optimized geometry", "crystal_system": "cubic", "delta_e_f_ev_per_atom": 0.266, "vol_a3_per_atom": 27.662, "space_group": "Fm-3m", "lattice": [[7.621, 0.000, 0.000], [0.000, 7.621, 0.000], [0.000, 0.000, 7.621]], "species": ["Tl", "Tl", "Tl", "Tl", "Tl", "Tl", "Tl", "Tl", "Tl", "Tl", "Tl", "Tl", "P", "P", "P", "P"], "frac_coords": [[0.000, 0.000, 0.000], [0.000, 0.500, 0.500], [0.250, 0.250, 0.250], [0.250, 0.250, 0.750], [0.250, 0.750, 0.250], [0.250, 0.750, 0.750], [0.500, 0.000, 0.500], [0.500, 0.500, 0.000], [0.750, 0.250, 0.250], [0.750, 0.250, 0.750], [0.750, 0.750, 0.250], [0.750, 0.750, 0.750], [0.000, 0.000, 0.500], [0.000, 0.500, 0.000], [0.500, 0.000, 0.000], [0.500, 0.500, 0.500]]}


{"formula": "La2DyMg4", "functional": "PBE-GGA", "state": "optimized geometry", "crystal_system": "trigonal", "delta_e_f_ev_per_atom": 0.039, "vol_a3_per_atom": 29.032, "space_group": "R-3m", "lattice": [[2.717, 1.569, 7.949], [-2.717, 1.569, 7.949], [0.000, -3.137, 7.949]], "species": ["La", "La", "Dy", "Mg", "Mg", "Mg", "Mg"], "frac_coords": [[0.215, 0.215, 0.215], [0.785, 0.785, 0.785], [0.500, 0.500, 0.500], [0.067, 0.067, 0.067], [0.363, 0.363, 0.363], [0.637, 0.637, 0.637], [0.933, 0.933, 0.933]]}